[1]
GGA-PBE RbScF2, optimized geometry; space group = R-3m, No. 166; energy relative to the elements, uncorrected = -2.518 eV per atom; offset from the most stable computed form = 0.0 meV per atom
1.0
-4.8325 -5.7678 -1.0990
-1.8135 -7.3536 0.6810
-4.4934 -5.4975 2.7233
Sc Rb F
1 1 2
Cartesian
0.0000 0.0000 0.0000
-5.5697 -9.3095 1.1526
-10.1216 -16.9178 2.0947
-1.0178 -1.7011 0.2106

=====

[2]
GGA-PBE RbScF2, optimized geometry; space group = Fm-3m, No. 225; energy relative to the elements, uncorrected = -1.608 eV per atom; offset from the most stable computed form = 910.8 meV per atom
1.0
0.0000 3.2954 3.2954
3.2954 0.0000 3.2954
3.2954 3.2954 0.0000
Sc Rb F
1 1 2
Cartesian
0.0000 0.0000 0.0000
3.2954 3.2954 3.2954
1.6477 1.6477 1.6477
4.9431 4.9431 4.9431

=====

[3]
GGA-PBE Rb2Sc2F7, optimized geometry; space group = Cmmm, No. 65; energy relative to the elements, uncorrected = -3.307 eV per atom
1.0
-2.0197 -5.9256 1.5158
4.0836 -2.0967 -2.7549
3.4156 -0.1102 4.1210
Rb Sc F
2 2 7
Cartesian
2.5677 -3.5544 3.2127
2.9119 -4.5781 -0.3308
2.0606 -0.6065 0.3754
3.4190 -7.5260 2.5065
5.3971 -3.3085 -0.3981
0.4164 -5.8170 -0.1572
0.0825 -4.8239 3.2800
5.0632 -2.3155 3.0392
0.0000 0.0000 0.0000
2.1122 -5.9084 1.9122
3.3674 -2.2240 0.9697

=====

[4]
GGA-PBE RbSc3F, optimized geometry; space group = Pm-3m, No. 221; energy relative to the elements, uncorrected = -0.135 eV per atom; offset from the most stable computed form = 0.0 meV per atom
1.0
-0.0506 -1.6943 -4.7254
3.8121 -3.0877 1.0662
-3.2662 -3.5775 1.3177
Sc Rb F
3 1 1
Cartesian
1.9060 -1.5438 0.5331
-1.6331 -1.7887 0.6588
-0.0253 -0.8471 -2.3627
0.2476 -4.1797 -1.1707
0.0000 0.0000 0.0000

=====

[5]
GGA-PBE Rb2Sc3F10, optimized geometry; space group = C2/m, No. 12; energy relative to the elements, uncorrected = -3.552 eV per atom
1.0
6.0124 0.0000 -1.9568
-1.0215 7.8244 -3.1386
0.0943 0.0158 10.5048
Rb Sc F
4 6 20
Cartesian
3.9816 2.6524 2.0187
1.1035 5.1877 3.3906
2.9625 5.6356 -1.1126
2.1226 2.2046 6.5219
5.0753 4.1015 5.3791
0.0098 3.7387 0.0302
3.9668 7.6972 1.9731
1.1184 0.1430 3.4362
4.5812 0.0000 -1.4910
1.4312 0.0000 -0.4658
3.0705 7.6903 3.8663
-0.2067 7.6903 4.9329
2.0147 0.1499 1.5430
5.2918 0.1499 0.4764
3.2812 4.0737 4.6481
0.0831 4.0737 5.6889
1.8040 3.7664 0.7613
5.0020 3.7664 -0.2796
5.1246 6.1925 5.5307
-0.0395 1.6477 -0.1214
5.0333 1.9928 5.2502
0.0518 5.8474 0.1591
3.9078 5.7631 1.7920
1.1773 2.0771 3.6173
2.1385 6.5156 6.5706
2.9467 1.3245 -1.1612
4.2750 3.9122 -3.1269
0.7158 3.9122 -1.9685
3.0533 0.0079 4.2740
0.0471 0.0079 5.2524

=====

[6]
GGA-PBE RbSc2F, optimized geometry; space group = R-3m, No. 166; energy relative to the elements, uncorrected = -0.715 eV per atom; offset from the most stable computed form = 0.0 meV per atom
1.0
2.0399 0.0000 10.9035
-1.0200 1.7666 10.9035
-1.0200 -1.7666 10.9035
Sc Rb F
2 1 1
Cartesian
0.0000 0.0000 30.6953
0.0000 0.0000 2.0152
0.0000 0.0000 16.3552
0.0000 0.0000 0.0000

=====

[7]
GGA-PBE RbScF4, optimized geometry; space group = Cmcm, No. 63; energy relative to the elements, uncorrected = -3.626 eV per atom; offset from the most stable computed form = 6.9 meV per atom
1.0
4.1562 0.0000 0.0000
-2.0781 8.4489 0.0000
0.0000 0.0000 6.3469
Rb Sc F
2 2 8
Cartesian
2.0781 3.0751 1.5867
0.0000 5.3738 4.7601
2.0781 7.0917 1.5867
0.0000 1.3572 4.7601
2.0781 5.6489 2.9458
0.0000 2.8000 3.4011
2.0781 5.6489 0.2276
0.0000 2.8000 6.1192
0.0000 7.1896 1.5867
2.0781 1.2594 4.7601
0.0000 0.0000 3.1734
0.0000 0.0000 0.0000

=====

[8]
GGA-PBE Rb2ScF2, optimized geometry; space group = I4mm, No. 107; energy relative to the elements, uncorrected = -1.974 eV per atom
1.0
-1.4262 -3.8861 0.2033
2.3317 -0.6801 3.3582
-15.6012 6.3599 12.1202
Sc Rb F
2 4 4
Cartesian
-12.7091 5.1809 9.8734
-4.4558 -0.2821 5.5941
-2.8105 1.1457 2.1834
-10.1584 2.0426 10.0243
-7.3901 3.0126 5.7412
-14.7380 3.9095 13.5821
-11.3632 4.7674 11.4126
-13.2421 3.1645 9.8351
-5.4415 -0.0155 3.7750
-3.5625 1.5875 5.3525

=====

[9]
GGA-PBE RbSc2F, optimized geometry; space group = I-42d, No. 122; energy relative to the elements, uncorrected = -0.651 eV per atom; offset from the most stable computed form = 63.4 meV per atom
1.0
-5.5741 -3.5114 -2.6603
-1.0928 -3.0542 6.3210
-6.3496 0.5112 3.1421
Sc Rb F
4 2 2
Cartesian
-3.8229 -1.5762 0.5739
-4.3521 -3.0924 3.7427
-7.5338 -2.8375 5.2998
-10.3242 -4.6027 3.9892
0.0000 0.0000 0.0000
-7.6286 -3.1415 1.1561
-3.3335 -3.2828 1.8303
-5.3879 -2.9129 5.6467

=====

[10]
GGA-PBE Rb2ScF4, optimized geometry; space group = I4/mmm, No. 139; energy relative to the elements, uncorrected = -3.076 eV per atom
1.0
4.1483 0.0000 0.0000
0.0000 4.1483 0.0000
2.0742 2.0742 9.9111
Sc Rb F
1 2 4
Cartesian
0.0000 0.0000 0.0000
2.0742 2.0742 2.8594
4.1483 4.1483 7.0517
2.0742 2.0742 7.9010
4.1483 4.1483 2.0101
0.0000 2.0742 0.0000
2.0742 0.0000 0.0000

=====

[11]
GGA-PBE RbScF4, optimized geometry; space group = P-1, No. 2; energy relative to the elements, uncorrected = -3.605 eV per atom; offset from the most stable computed form = 28.2 meV per atom
1.0
-1.0105 -3.9922 3.7196
0.7438 -3.9658 -4.0536
6.6830 3.3663 1.3058
Rb Sc F
2 2 8
Cartesian
6.4753 -2.6127 1.0652
-0.0590 -1.9790 -0.0934
2.8363 -0.3129 2.5127
3.7134 -0.2997 -1.3739
4.7860 -0.0809 2.8151
0.8683 -4.0672 1.6169
1.6303 -4.5108 -1.8433
5.5480 -0.5245 -0.6451
3.4251 -4.7333 0.4657
3.2508 -2.2921 -1.1003
2.9912 0.1416 0.5061
3.1655 -2.2995 2.0721

=====

[12]
GGA-PBE RbSc3F, optimized geometry; space group = Pm-3m, No. 221; energy relative to the elements, uncorrected = 1.443 eV per atom; offset from the most stable computed form = 1578.2 meV per atom
1.0
5.2253 0.0000 0.0000
0.0000 5.2253 0.0000
0.0000 0.0000 5.2253
Sc Rb F
3 1 1
Cartesian
0.0000 2.6127 0.0000
0.0000 0.0000 2.6127
2.6127 0.0000 0.0000
0.0000 0.0000 0.0000
2.6127 2.6127 2.6127

=====

Please write out number 10 again, unchanged.
GGA-PBE Rb2ScF4, optimized geometry; space group = I4/mmm, No. 139; energy relative to the elements, uncorrected = -3.076 eV per atom
1.0
4.1483 0.0000 0.0000
0.0000 4.1483 0.0000
2.0742 2.0742 9.9111
Sc Rb F
1 2 4
Cartesian
0.0000 0.0000 0.0000
2.0742 2.0742 2.8594
4.1483 4.1483 7.0517
2.0742 2.0742 7.9010
4.1483 4.1483 2.0101
0.0000 2.0742 0.0000
2.0742 0.0000 0.0000

=====

energy relative to the elements, uncorrected of number 7 (RbScF4)? -3.626 eV per atom